Record 1
5
Lattice="4.2816 0.0000 0.0000 0.0000 4.2816 0.0000 0.0000 0.0000 4.2816" Properties=species:S:1:pos:R:3 comment="B3TeMo (PBE, relaxed)" raw_formation_energy_ev_per_atom=1.572 vol_a3_per_atom=15.70 pbc="T T T"
B 0.0000 0.0000 2.1408
B 0.0000 2.1408 0.0000
B 2.1408 0.0000 0.0000
Te 2.1408 2.1408 2.1408
Mo 0.0000 0.0000 0.0000


Record 2
5
Lattice="5.3497 0.0000 0.0000 0.0000 5.3497 0.0000 0.0000 0.0000 4.0055" Properties=species:S:1:pos:R:3 comment="TiBTe2Mo (PBE, relaxed)" raw_formation_energy_ev_per_atom=0.860 vol_a3_per_atom=22.93 pbc="T T T"
Ti 0.0000 0.0000 0.0000
B 2.6749 2.6749 0.0000
Te 0.0000 2.6749 2.0028
Te 2.6749 0.0000 2.0028
Mo 2.6749 2.6749 2.0028


Record 3
5
Lattice="4.0191 0.0000 0.0000 0.0000 4.0191 0.0000 0.0000 0.0000 4.6843" Properties=species:S:1:pos:R:3 comment="V2BTeMo (PBE, relaxed)" raw_formation_energy_ev_per_atom=0.684 vol_a3_per_atom=15.13 pbc="T T T"
V 0.0000 2.0096 0.0000
V 2.0096 0.0000 0.0000
B 0.0000 0.0000 0.0000
Te 0.0000 0.0000 2.3421
Mo 2.0096 2.0096 2.3421


Record 4
5
Lattice="4.7979 0.0000 0.0000 0.0000 4.7979 0.0000 0.0000 0.0000 3.9981" Properties=species:S:1:pos:R:3 comment="VBTe2Mo (PBE, relaxed)" raw_formation_energy_ev_per_atom=0.961 vol_a3_per_atom=18.41 pbc="T T T"
V 0.0000 0.0000 0.0000
B 2.3990 2.3990 1.9991
Te 0.0000 2.3990 1.9991
Te 2.3990 0.0000 1.9991
Mo 2.3990 2.3990 0.0000